1.
This record from the Alexandria database describes an optimized crystal structure of K2SmAs2S6. The functional is PBE-GGA.

```
11
Lattice="7.171 0.000 0.000 -3.585 5.929 -0.229 0.000 -3.662 7.582" Properties=species:S:1:pos:R:3 pbc="T T T"
K 3.585 1.730 1.255
K 0.000 0.537 6.098
Sm 3.585 -1.831 3.791
As 3.585 2.420 5.934
As 0.000 -0.153 1.419
S 3.586 0.851 4.352
S -1.777 4.477 1.388
S 1.809 -2.211 5.965
S 5.362 -2.211 5.965
S 1.777 4.477 1.388
S 0.000 1.415 3.001
```

Summary:
- Formation energy from raw total energies: -0.83 eV/atom
- Total magnetic moment: 0.0 μB/f.u.



2.
This record from the Alexandria database describes an optimized crystal structure of PmPaAs2. The functional is PBE-GGA.

```
4
Lattice="-1.144 0.638 3.944 2.008 -1.932 3.084 4.645 4.771 2.765" Properties=species:S:1:pos:R:3 pbc="T T T"
Pm 2.755 1.739 4.897
Pa 0.000 0.000 0.000
As 1.327 0.809 2.443
As 4.183 2.669 7.350
```

Summary:
- Calculated formation energy: -5.2 eV/f.u.
- Total magnetic moment: 0.0 μB/f.u.



3.
This record from the Alexandria database describes an optimized crystal structure of TlAgAs2. The functional is PBE-GGA.

```
4
Lattice="4.644 -0.002 0.054 3.174 3.390 0.054 2.244 0.973 6.289" Properties=species:S:1:pos:R:3 pbc="T T T"
Tl 4.867 2.109 3.149
As 0.542 0.235 0.212
As 6.987 3.028 4.882
Ag 2.696 1.169 1.353
```

Summary:
- Calculated formation energy: 0.5 eV/f.u.
- Total magnetic moment: 0.0 μB/f.u.



4.
This record from the Alexandria database describes an optimized crystal structure of TlCd2Pt. The functional is PBE-GGA.

```
4
Lattice="-0.982 -5.032 -0.728 -0.458 -4.127 3.093 -4.626 -0.721 0.805" Properties=species:S:1:pos:R:3 pbc="T T T"
Tl -4.490 -7.521 2.396
Pt -2.910 -4.958 1.573
Cd -1.496 -9.143 2.369
Cd -1.641 -2.356 0.783
```

Summary:
- Calculated formation energy: -0.1 eV/f.u.
- Total magnetic moment: 0.0 μB/f.u.



5.
This record from the Alexandria database describes an optimized crystal structure of Er2CSe. The functional is PBE-GGA.

```
4
Lattice="-0.348 -2.545 -2.701 1.426 -3.413 0.460 -5.270 -3.985 1.862" Properties=species:S:1:pos:R:3 pbc="T T T"
C 0.000 0.000 0.000
Se -2.096 -4.971 -0.189
Er -0.774 -2.388 -0.222
Er -3.418 -7.554 -0.157
```

Summary:
- Formation energy from raw total energies: -1.19 eV/atom
- Total magnetic moment: 0.0 μB/f.u.



6.
This record from the Alexandria database describes an optimized crystal structure of ScTc3Te. The functional is PBE-GGA.

```
5
Lattice="4.674 0.000 0.000 0.000 4.674 0.000 0.000 0.000 4.674" Properties=species:S:1:pos:R:3 pbc="T T T"
Sc 0.000 0.000 0.000
Te 2.337 2.337 2.337
Tc 0.000 2.337 0.000
Tc 0.000 0.000 2.337
Tc 2.337 0.000 0.000
```

Summary:
- Formation energy from raw total energies: 1.70 eV/atom
- Total magnetic moment: 2.1 μB/f.u.



7.
This record from the Alexandria database describes an optimized crystal structure of TmBeSiOs. The functional is PBE-GGA.

```
4
Lattice="3.988 0.000 0.000 1.994 3.453 0.000 1.994 1.151 4.768" Properties=species:S:1:pos:R:3 pbc="T T T"
Tm 5.981 3.453 2.742
Be 3.988 2.302 0.900
Si 1.994 1.151 4.596
Os 1.994 1.151 0.452
```

Summary:
- Formation energy from raw total energies: -0.49 eV/atom
- Total magnetic moment: 0.0 μB/f.u.



8.
This record from the Alexandria database describes an optimized crystal structure of VAsBr2. The functional is PBE-GGA.

```
8
Lattice="7.964 0.000 0.000 0.000 7.964 0.000 3.982 3.982 4.727" Properties=species:S:1:pos:R:3 pbc="T T T"
As 0.000 0.000 0.000
As 7.964 3.982 2.363
Br 4.956 1.991 1.182
Br 3.008 5.973 1.182
Br 5.973 6.990 3.545
Br 9.955 8.938 3.545
V 3.982 3.982 0.000
V 3.982 7.964 2.363
```

Summary:
- Formation energy from raw total energies: 0.36 eV/atom
- Total magnetic moment: 6.0 μB/f.u.